No. 1
Material: Y3Er4Ni2Te2
Method: DFT, PBE
State: relaxed

Output
Electronic total energy in eV per atom: -5.694
Magnetization in μB per formula unit: 0.02

Cell: 9.318 9.318 9.318 Å, 156.20 67.13 118.27°
Fractional positions:
1 Y 0.000 0.000 0.000
2 Y 0.287 0.418 0.869
3 Y 0.549 0.418 0.131
4 Er 0.305 0.620 0.686
5 Er 0.624 0.271 0.353
6 Er 0.918 0.271 0.647
7 Er 0.934 0.620 0.314
8 Ni 0.164 0.928 0.236
9 Ni 0.692 0.928 0.764
10 Te 0.263 0.763 0.500
11 Te 0.666 0.666 0.000

No. 2
Material: Y4Er3Ni2Te2
Method: DFT, PBE
State: relaxed

Output
Electronic total energy in eV per atom: -5.861
Magnetization in μB per formula unit: 0.04

Cell: 9.369 9.369 9.369 Å, 156.24 66.91 118.49°
Fractional positions:
1 Y 0.131 0.000 0.131
2 Y 0.205 0.851 0.354
3 Y 0.498 0.851 0.646
4 Y 0.869 0.000 0.869
5 Er 0.517 0.201 0.315
6 Er 0.583 0.583 0.000
7 Er 0.886 0.201 0.685
8 Ni 0.274 0.511 0.762
9 Ni 0.749 0.511 0.238
10 Te 0.247 0.247 0.000
11 Te 0.845 0.345 0.500

No. 3
Material: ErThNi
Method: DFT, PBE
State: relaxed

Output
Calculated formation energy in meV/atom: -74
Magnetization in μB per formula unit: 0.00

Cell: 6.753 6.753 6.753 Å, 90.00 90.00 90.00°
Fractional positions:
1 Er 0.000 0.000 0.000
2 Er 0.000 0.500 0.500
3 Er 0.500 0.000 0.500
4 Er 0.500 0.500 0.000
5 Th 0.000 0.000 0.500
6 Th 0.000 0.500 0.000
7 Th 0.500 0.000 0.000
8 Th 0.500 0.500 0.500
9 Ni 0.250 0.250 0.250
10 Ni 0.250 0.750 0.750
11 Ni 0.750 0.250 0.750
12 Ni 0.750 0.750 0.250

No. 4
Material: Er6TlNi2
Method: DFT, PBE
State: relaxed

Output
Electronic total energy in eV per atom: -4.880
Magnetization in μB per formula unit: 0.00

Cell: 8.343 8.343 8.343 Å, 112.60 109.44 106.44°
Fractional positions:
1 Er 0.027 0.233 0.794
2 Er 0.183 0.293 0.476
3 Er 0.183 0.707 0.891
4 Er 0.325 0.019 0.693
5 Er 0.325 0.632 0.307
6 Er 0.439 0.233 0.206
7 Er 0.561 0.767 0.794
8 Er 0.675 0.368 0.693
9 Er 0.675 0.981 0.307
10 Er 0.817 0.293 0.109
11 Er 0.817 0.707 0.524
12 Er 0.973 0.767 0.206
13 Tl 0.000 0.000 0.000
14 Tl 0.500 0.500 0.000
15 Ni 0.124 0.624 0.500
16 Ni 0.356 0.000 0.356
17 Ni 0.644 0.000 0.644
18 Ni 0.876 0.376 0.500

No. 5
Material: ErTl5Ni
Method: DFT, PBE
State: relaxed

Output
Electronic total energy in eV per atom: -3.163
Magnetization in μB per formula unit: 0.00

Cell: 4.752 4.752 7.762 Å, 90.00 90.00 90.00°
Fractional positions:
1 Er 0.000 0.000 0.000
2 Tl 0.000 0.500 0.301
3 Tl 0.000 0.500 0.699
4 Tl 0.500 0.000 0.301
5 Tl 0.500 0.000 0.699
6 Tl 0.500 0.500 0.000
7 Ni 0.000 0.000 0.500

No. 6
Material: ErTmNi2
Method: DFT, PBE
State: relaxed

Output
Calculated formation energy in meV/atom: -500
Magnetization in μB per formula unit: 0.00

Cell: 4.126 6.971 5.359 Å, 90.00 90.00 90.00°
Fractional positions:
1 Er 0.000 0.070 0.000
2 Er 0.500 0.930 0.500
3 Tm 0.000 0.570 0.239
4 Tm 0.500 0.430 0.739
5 Ni 0.000 0.212 0.494
6 Ni 0.000 0.712 0.745
7 Ni 0.500 0.288 0.245
8 Ni 0.500 0.788 0.994

No. 7
Material: ErTmNi2
Method: DFT, PBE
State: relaxed

Output
Calculated formation energy in meV/atom: -499
Magnetization in μB per formula unit: 0.00

Cell: 4.115 5.349 6.912 Å, 90.00 90.00 90.00°
Fractional positions:
1 Er 0.000 0.116 0.000
2 Er 0.000 0.884 0.500
3 Tm 0.500 0.384 0.640
4 Tm 0.500 0.616 0.140
5 Ni 0.000 0.380 0.357
6 Ni 0.000 0.620 0.857
7 Ni 0.500 0.122 0.283
8 Ni 0.500 0.878 0.783

No. 8
Material: ErTmNi4
Method: DFT, PBE
State: relaxed

Output
Calculated formation energy in meV/atom: -65
Magnetization in μB per formula unit: 0.00

Cell: 5.315 5.315 7.984 Å, 90.00 90.00 120.00°
Fractional positions:
1 Er 0.000 0.000 0.000
2 Er 0.000 0.000 0.500
3 Tm 0.333 0.667 0.000
4 Tm 0.667 0.333 0.000
5 Ni 0.000 0.500 0.270
6 Ni 0.000 0.500 0.730
7 Ni 0.333 0.667 0.500
8 Ni 0.500 0.000 0.270
9 Ni 0.500 0.000 0.730
10 Ni 0.500 0.500 0.270
11 Ni 0.500 0.500 0.730
12 Ni 0.667 0.333 0.500

No. 9
Material: ErTmNi4
Method: DFT, PBE
State: relaxed

Output
Calculated formation energy in meV/atom: -490
Magnetization in μB per formula unit: 0.00

Cell: 5.017 5.017 5.017 Å, 60.00 60.00 60.00°
Fractional positions:
1 Er 0.000 0.000 0.000
2 Tm 0.250 0.250 0.250
3 Ni 0.126 0.625 0.625
4 Ni 0.625 0.126 0.625
5 Ni 0.625 0.625 0.126
6 Ni 0.625 0.625 0.625

No. 10
Material: ErTm2Ni9
Method: DFT, PBE
State: relaxed

Output
Calculated formation energy in meV/atom: -446
Magnetization in μB per formula unit: 1.15

Cell: 8.518 8.518 8.518 Å, 33.55 33.55 33.55°
Fractional positions:
1 Er 0.000 0.000 0.000
2 Tm 0.139 0.139 0.139
3 Tm 0.861 0.861 0.861
4 Ni 0.081 0.583 0.583
5 Ni 0.333 0.333 0.333
6 Ni 0.417 0.417 0.919
7 Ni 0.417 0.919 0.417
8 Ni 0.500 0.500 0.500
9 Ni 0.583 0.081 0.583
10 Ni 0.583 0.583 0.081
11 Ni 0.667 0.667 0.667
12 Ni 0.919 0.417 0.417

No. 11
Material: ErTmNi2
Method: DFT, PBE
State: relaxed

Output
Calculated formation energy in meV/atom: -499
Magnetization in μB per formula unit: 0.00

Cell: 4.128 3.690 10.044 Å, 90.00 90.00 90.00°
Fractional positions:
1 Er 0.000 0.000 0.000
2 Er 0.000 0.500 0.500
3 Tm 0.500 0.000 0.280
4 Tm 0.500 0.500 0.780
5 Ni 0.000 0.000 0.713
6 Ni 0.000 0.500 0.213
7 Ni 0.500 0.000 0.568
8 Ni 0.500 0.500 0.068

No. 12
Material: ErTmNi2
Method: DFT, PBE
State: relaxed

Output
Calculated formation energy in meV/atom: -500
Magnetization in μB per formula unit: 0.00

Cell: 5.368 4.124 6.962 Å, 90.00 90.08 90.00°
Fractional positions:
1 Er 0.131 0.250 0.180
2 Er 0.869 0.750 0.820
3 Tm 0.369 0.250 0.680
4 Tm 0.631 0.750 0.320
5 Ni 0.126 0.750 0.463
6 Ni 0.374 0.750 0.962
7 Ni 0.626 0.250 0.038
8 Ni 0.874 0.250 0.537